VASP calculation (GGA-PBE) on a relaxed Dy5Tm12Sc crystal.

Unit cell a=8.7623 b=8.7623 c=11.6559 alpha=90.00 beta=90.00 gamma=142.88
Last column: nearest neighbours and their distance in Å.
Atoms (fractional coordinates):
Dy 0.0000 0.0000 0.0000  10 Tm 3.47-3.67, 4 Dy 3.60
Dy 0.1353 0.8647 0.5000  8 Tm 3.20-3.56, 2 Sc 3.58
Dy 0.3634 0.6366 0.0000  8 Tm 3.29-3.54, 2 Dy 3.60
Dy 0.6366 0.3634 0.0000  8 Tm 3.29-3.54, 2 Dy 3.60
Dy 0.8647 0.1353 0.5000  8 Tm 3.20-3.56, 2 Sc 3.58
Tm 0.0013 0.0013 0.3041  2 Tm 3.02, 2 Dy 3.20
Tm 0.1792 0.8209 0.1529  7 Tm 3.28-3.65, 4 Dy 3.38-3.54
Tm 0.1791 0.8208 0.8471  7 Tm 3.28-3.65, 4 Dy 3.38-3.54
Tm 0.3214 0.6783 0.6519  7 Tm 3.28-3.66, 3 Dy 3.38-3.56, 1 Sc 3.45
Tm 0.3217 0.6786 0.3481  7 Tm 3.28-3.66, 3 Dy 3.38-3.56, 1 Sc 3.45
Tm 0.4987 0.4987 0.7960  2 Tm 3.02, 2 Dy 3.29
Tm 0.5013 0.5013 0.2040  2 Tm 3.02, 2 Dy 3.29
Tm 0.6783 0.3214 0.6519  7 Tm 3.28-3.66, 3 Dy 3.38-3.56, 1 Sc 3.45
Tm 0.6786 0.3217 0.3481  7 Tm 3.28-3.66, 3 Dy 3.38-3.56, 1 Sc 3.45
Tm 0.8209 0.1792 0.1529  7 Tm 3.28-3.65, 4 Dy 3.38-3.54
Tm 0.8208 0.1791 0.8471  7 Tm 3.28-3.65, 4 Dy 3.38-3.54
Tm 0.9987 0.9987 0.6959  2 Tm 3.02, 2 Dy 3.20
Sc 0.5000 0.5000 0.5000  10 Tm 3.45-3.61, 4 Dy 3.58

calculated formation energy: 10.14 kJ per mole of atoms
VASP energy: -81.11 eV/cell
calculated density: 8.87 g cm⁻³